A plane-wave DFT calculation with PBE-GGA was carried out for a geometry-optimized DyCuTe3Pb structure.

Summary:
Space-group type: Pnma
Total moment: 0.000 μB/atom
E above lowest polymorph: 0.35 eV per formula unit

Unit cell a=8.9295 b=4.4730 c=17.2951 alpha=90.00 beta=90.00 gamma=90.00
Fractional coordinates of all 24 atoms:
Cu: 0.3717 0.2500 0.1315
Cu: 0.8717 0.2500 0.3685
Cu: 0.1283 0.7500 0.6315
Cu: 0.6283 0.7500 0.8685
Dy: 0.7420 0.2500 0.0374
Dy: 0.2420 0.2500 0.4626
Dy: 0.7580 0.7500 0.5374
Dy: 0.2580 0.7500 0.9626
Pb: 0.0814 0.7500 0.2167
Pb: 0.5814 0.7500 0.2833
Pb: 0.4186 0.2500 0.7167
Pb: 0.9186 0.2500 0.7833
Te: 0.1160 0.2500 0.0596
Te: 0.5138 0.7500 0.0960
Te: 0.8139 0.2500 0.2156
Te: 0.3139 0.2500 0.2844
Te: 0.0138 0.7500 0.4040
Te: 0.6160 0.2500 0.4404
Te: 0.3840 0.7500 0.5596
Te: 0.9862 0.2500 0.5960
Te: 0.6861 0.7500 0.7156
Te: 0.1861 0.7500 0.7844
Te: 0.4862 0.2500 0.9040
Te: 0.8840 0.7500 0.9404


A plane-wave DFT calculation with PBE-GGA was carried out for a geometry-optimized Zr3Ge4S structure.

Summary:
Space-group type: Pm
E_tot: -0.23781 Ha/atom
Total moment: 0.000 μB/atom

Unit cell a=6.1997 b=3.6643 c=7.3432 alpha=90.00 beta=101.16 gamma=90.00
Fractional coordinates of all 8 atoms:
Ge: 0.1209 0.0000 0.1379
Ge: 0.6374 0.0000 0.4132
Ge: 0.3795 0.5000 0.4863
Ge: 0.8821 0.5000 0.9436
S: 0.4975 0.0000 0.8514
Zr: 0.4441 0.5000 0.0921
Zr: 0.9454 0.5000 0.3444
Zr: 0.0931 0.0000 0.7312


A plane-wave DFT calculation with PBE-GGA was carried out for a geometry-optimized MgFeMoPb structure.

Summary:
Space-group type: F-43m
Total moment: 0.499 μB/atom
E above lowest polymorph: 0.00 eV per formula unit

Unit cell a=4.5565 b=4.5565 c=4.5565 alpha=60.00 beta=60.00 gamma=60.00
Fractional coordinates of all 4 atoms:
Fe: 0.7500 0.7500 0.7500
Mg: 0.2500 0.2500 0.2500
Mo: 0.5000 0.5000 0.5000
Pb: 0.0000 0.0000 0.0000


Number 1: mass density 7.8 Mg/m³. Number 2: mass density 6.1 Mg/m³. Number 3: mass density 9.5 Mg/m³.